Computed, not measured: a relaxed structure of Li4Mn3V2Cr3O16 at the PBE+U level of DFT.

```
28
Lattice="5.854 0.003 0.007 -2.869 5.115 0.004 0.002 -0.079 9.515" Properties=species:S:1:pos:R:3 pbc="T T T"
Li 0.060 3.394 0.964
Li -0.016 0.058 0.042
Li 2.957 5.070 4.830
Li 2.960 1.610 5.753
Mn 0.018 1.711 7.472
Mn 1.477 0.847 2.727
Mn 4.368 0.821 2.723
V -0.011 3.411 4.891
V 2.935 1.791 0.103
Cr -1.386 4.211 7.502
Cr 1.496 4.191 7.489
Cr 2.968 3.337 2.731
O -1.416 4.061 3.938
O 0.050 4.841 6.246
O 0.047 3.304 8.514
O -0.005 0.024 6.587
O -2.866 5.097 1.834
O 1.503 4.250 3.820
O -1.251 2.572 6.307
O 1.284 2.562 6.265
O 2.979 3.384 8.610
O 0.011 1.606 3.813
O 1.751 2.522 1.384
O 4.299 2.382 1.560
O 2.946 1.625 3.728
O 1.445 0.862 8.573
O 2.949 0.188 1.540
O 4.398 0.859 8.587
```

Calculated values
As for the total magnetization: 15.00 μB/cell. The value obtained for the total energy is -199.17 eV for the cell shown. As for the volume: 285.0 Å³/f.u.